## NpSc3Pd12 (PBE)

Data for a relaxed structure of NpSc3Pd12.

Values from the calculation:
ΔH_f (0 K) = -11.94 eV per formula unit
E_tot = -106.19 eV/cell
Total magnetic moment = 2.75 μB per cell

POSCAR file:
```
NpSc3Pd12
1.0
4.049 0.000 0.000
0.000 4.049 0.000
0.000 0.000 16.083
Np Sc Pd
1 3 12
Cartesian
0.000 0.000 0.000
0.000 0.000 4.126
0.000 0.000 8.042
0.000 0.000 11.958
0.000 2.025 2.066
0.000 2.025 6.056
0.000 2.025 10.027
0.000 2.025 14.018
2.025 0.000 2.066
2.025 0.000 6.056
2.025 0.000 10.027
2.025 0.000 14.018
2.025 2.025 0.000
2.025 2.025 4.070
2.025 2.025 8.042
2.025 2.025 12.013
```